Record 1
PaMnCoRh | PBE | relaxed

a = 6.4233 Å, b = 6.4233 Å, c = 6.4233 Å
α = 90.00°, β = 90.00°, γ = 90.00°
Space group F-43m (No. 216)
Symmetry-distinct sites (fractional):
Pa (0.0000, 0.0000, 0.0000) x4
Mn (0.0000, 0.0000, 0.5000) x4
Co (0.2500, 0.2500, 0.2500) x4
Rh (0.2500, 0.2500, 0.7500) x4

Computed properties:
The calculation puts the total energy at -135.582 eV/cell. The magnetic moment is 0.978 μB per atom. The calculation puts the formation energy at -0.1932 eV per atom.

=====

Record 2
DyGe3Ir5 | PBE | relaxed

a = 4.0644 Å, b = 12.9663 Å, c = 12.1523 Å
α = 90.00°, β = 90.00°, γ = 90.00°
Space group Cmcm (No. 63)
Symmetry-distinct sites (fractional):
Dy (0.0000, 0.2163, 0.2500) x4
Ge (0.0000, 0.0980, 0.7500) x4
Ge (0.0000, 0.3860, 0.5628) x8
Ir (0.0000, 0.0000, 0.0000) x4
Ir (0.0000, 0.2030, 0.5729) x8
Ir (0.0000, 0.4346, 0.1370) x8

Computed properties:
The calculation puts the total energy at -262.714 eV/cell. The magnetic moment is 0.000 μB per atom. The calculation puts the formation energy at -0.3244 eV per atom.

=====

Record 3
NpSi2Ir3 | PBE | relaxed

a = 16.1455 Å, b = 3.9570 Å, c = 9.6694 Å
α = 90.00°, β = 108.29°, γ = 90.00°
Space group C2/m (No. 12)
Symmetry-distinct sites (fractional):
Np (0.0000, 0.0000, 0.0000) x2
Np (0.1601, 0.0000, 0.7016) x4
Si (0.0383, 0.5000, 0.7758) x4
Si (0.1371, 0.5000, 0.4518) x4
Si (0.1945, 0.0000, 0.1249) x4
Ir (0.0000, 0.5000, 0.5000) x2
Ir (0.0417, 0.0000, 0.3285) x4
Ir (0.1181, 0.5000, 0.1949) x4
Ir (0.1780, 0.5000, 0.9551) x4
Ir (0.2201, 0.0000, 0.3902) x4

Computed properties:
The calculation puts the total energy at -326.344 eV/cell. Its energy relative to the elements, uncorrected is -388 kJ/mol of formula units. The magnetic moment is 0.535 μB per atom.

=====

Record 4
Ac4PdAu2 | PBE | relaxed

a = 5.8425 Å, b = 5.8425 Å, c = 15.3281 Å
α = 90.00°, β = 90.00°, γ = 90.00°
Space group I4/mmm (No. 139)
Symmetry-distinct sites (fractional):
Ac (0.0000, 0.0000, 0.2016) x4
Ac (0.0000, 0.5000, 0.0000) x4
Pd (0.0000, 0.0000, 0.0000) x2
Au (0.0000, 0.0000, 0.3997) x4

Computed properties:
The calculation puts the total energy at -62.955 eV/cell. The magnetic moment is 0.000 μB per atom. The value obtained for the energy above the lowest structure with this stoichiometry is 167.6 meV/atom. The calculation puts the formation energy at -0.4709 eV per atom.

=====

Record 5
Gd2MgPa | PBE | relaxed

a = 3.4055 Å, b = 3.4055 Å, c = 9.6085 Å
α = 90.00°, β = 90.00°, γ = 90.00°
Space group P4/mmm (No. 123)
Symmetry-distinct sites (fractional):
Gd (0.0000, 0.0000, 0.2478) x2
Mg (0.5000, 0.5000, 0.5000) x1
Pa (0.5000, 0.5000, 0.0000) x1

Computed properties:
The calculation puts the total energy at -39.035 eV/cell. The magnetic moment is 3.451 μB per atom. The value obtained for the energy above the lowest structure with this stoichiometry is 0.0 meV/atom. The calculation puts the formation energy at 0.0544 eV per atom.

=====

Record 6
K2TmPuO4 | PBE | relaxed

a = 6.0797 Å, b = 3.5031 Å, c = 6.5715 Å
α = 90.00°, β = 107.94°, γ = 90.00°
Space group P2/m (No. 10)
Symmetry-distinct sites (fractional):
K (0.0000, 0.0000, 0.0000) x1
K (0.5000, 0.5000, 0.0000) x1
Tm (0.0000, 0.5000, 0.5000) x1
Pu (0.5000, 0.0000, 0.5000) x1
O (0.2190, 0.0000, 0.6849) x2
O (0.2633, 0.5000, 0.3146) x2

Computed properties:
The calculation puts the total energy at -61.439 eV/cell. Its energy relative to the elements, uncorrected is -1988 kJ/mol of formula units. The magnetic moment is 0.625 μB per atom.

=====

Record 7
Ce8Ir4Pt3 | PBE | relaxed

a = 11.5131 Å, b = 11.5363 Å, c = 8.1507 Å
α = 90.00°, β = 134.86°, γ = 90.00°
Space group C2/m (No. 12)
Symmetry-distinct sites (fractional):
Ce (0.0000, 0.2434, 0.0000) x4
Ce (0.0000, 0.2534, 0.5000) x4
Ce (0.2459, 0.0000, 0.4846) x4
Ce (0.2478, 0.0000, 0.0068) x4
Ir (0.0000, 0.0000, 0.0000) x2
Ir (0.0000, 0.5000, 0.5000) x2
Ir (0.2500, 0.2500, 0.0000) x4
Pt (0.0000, 0.0000, 0.5000) x2
Pt (0.2500, 0.2500, 0.5000) x4

Computed properties:
The calculation puts the total energy at -226.321 eV/cell. The magnetic moment is 0.217 μB per atom. The calculation puts the formation energy at -0.8082 eV per atom.

=====

Record 8
Co2CCl | PBE | relaxed

a = 4.6655 Å, b = 4.6655 Å, c = 9.5470 Å
α = 90.00°, β = 90.00°, γ = 90.00°
Space group I-42d (No. 122)
Symmetry-distinct sites (fractional):
Co (0.1639, 0.2500, 0.1250) x8
C (0.0000, 0.0000, 0.0000) x4
Cl (0.0000, 0.0000, 0.5000) x4

Computed properties:
The calculation puts the total energy at -95.311 eV/cell. Its energy relative to the elements, uncorrected is 140 kJ/mol of formula units. The magnetic moment is 0.251 μB per atom. The value obtained for the energy above the lowest structure with this stoichiometry is 0.0 meV/atom.

=====

Record 9
Nd8SiC3Br4 | PBE | relaxed

a = 7.8802 Å, b = 7.8802 Å, c = 22.3705 Å
α = 90.00°, β = 90.00°, γ = 120.00°
Space group R-3m (No. 166, hexagonal axes)
Symmetry-distinct sites (fractional):
Nd (0.0000, 0.0000, 0.2270) x6
Nd (0.0232, 0.5116, 0.7700) x18
Si (0.0000, 0.0000, 0.5000) x3
C (0.0000, 0.5000, 0.5000) x9
Br (0.0000, 0.0000, 0.0000) x3
Br (0.0000, 0.5000, 0.0000) x9

Computed properties:
The calculation puts the total energy at -276.958 eV/cell. Its energy relative to the elements, uncorrected is -1388 kJ/mol of formula units. The magnetic moment is 0.000 μB per atom.

=====

Record 10
Si2Au | PBE | relaxed

a = 2.8342 Å, b = 2.8342 Å, c = 7.0206 Å
α = 90.00°, β = 90.00°, γ = 120.00°
Space group P-3m1 (No. 164)
Symmetry-distinct sites (fractional):
Si (0.3333, 0.6667, 0.3454) x2
Au (0.0000, 0.0000, 0.0000) x1

Computed properties:
The calculation puts the total energy at -12.927 eV/cell. Its energy relative to the elements, uncorrected is 115 kJ/mol of formula units. The magnetic moment is 0.000 μB per atom. The value obtained for the energy above the lowest structure with this stoichiometry is 302.1 meV/atom.

=====

Record 11
GaTe2WSe | PBE | relaxed

a = 5.7584 Å, b = 5.7584 Å, c = 4.6555 Å
α = 90.00°, β = 90.00°, γ = 90.00°
Space group P4/mmm (No. 123)
Symmetry-distinct sites (fractional):
Ga (0.0000, 0.0000, 0.0000) x1
Te (0.0000, 0.5000, 0.5000) x2
W (0.5000, 0.5000, 0.0000) x1
Se (0.5000, 0.5000, 0.5000) x1

Computed properties:
The calculation puts the total energy at -20.255 eV/cell. Its energy relative to the elements, uncorrected is 530 kJ/mol of formula units. The magnetic moment is 0.353 μB per atom.

=====

Record 12
Pm2Zn3Ga4Pt | PBE | relaxed

a = 4.2325 Å, b = 4.2325 Å, c = 10.6354 Å
α = 90.00°, β = 90.00°, γ = 90.00°
Space group P-4m2 (No. 115)
Symmetry-distinct sites (fractional):
Pm (0.0000, 0.5000, 0.2494) x2
Zn (0.0000, 0.0000, 0.0000) x1
Zn (0.0000, 0.5000, 0.6360) x2
Ga (0.0000, 0.0000, 0.5000) x1
Ga (0.0000, 0.5000, 0.8662) x2
Ga (0.5000, 0.5000, 0.5000) x1
Pt (0.5000, 0.5000, 0.0000) x1

Computed properties:
The calculation puts the total energy at -37.293 eV/cell. The magnetic moment is 0.000 μB per atom. The calculation puts the formation energy at -0.5821 eV per atom.

=====

Record 13
NdSmSnPb | PBE | relaxed

a = 7.8114 Å, b = 7.8114 Å, c = 7.8114 Å
α = 90.00°, β = 90.00°, γ = 90.00°
Space group F-43m (No. 216)
Symmetry-distinct sites (fractional):
Nd (0.0000, 0.0000, 0.0000) x4
Sm (0.0000, 0.0000, 0.5000) x4
Sn (0.2500, 0.2500, 0.2500) x4
Pb (0.2500, 0.2500, 0.7500) x4

Computed properties:
The calculation puts the total energy at -76.807 eV/cell. The magnetic moment is 0.001 μB per atom. The value obtained for the energy above the lowest structure with this stoichiometry is 160.4 meV/atom. The calculation puts the formation energy at -0.5009 eV per atom.

=====

Record 14
Ho2ScAl | PBE | relaxed

a = 3.4421 Å, b = 3.4421 Å, c = 8.7025 Å
α = 90.00°, β = 90.00°, γ = 90.00°
Space group P4/mmm (No. 123)
Symmetry-distinct sites (fractional):
Ho (0.0000, 0.0000, 0.2250) x2
Sc (0.5000, 0.5000, 0.5000) x1
Al (0.5000, 0.5000, 0.0000) x1

Computed properties:
The calculation puts the total energy at -19.931 eV/cell. The magnetic moment is 0.000 μB per atom. The value obtained for the energy above the lowest structure with this stoichiometry is 26.3 meV/atom. The calculation puts the formation energy at -0.1753 eV per atom.

=====

Record 15
In2GeBiH | PBE | relaxed

a = 5.6464 Å, b = 5.6464 Å, c = 3.5739 Å
α = 90.00°, β = 90.00°, γ = 90.00°
Space group P4/mmm (No. 123)
Symmetry-distinct sites (fractional):
In (0.0000, 0.5000, 0.0000) x2
Ge (0.0000, 0.0000, 0.0000) x1
Bi (0.5000, 0.5000, 0.5000) x1
H (0.0000, 0.0000, 0.5000) x1

Computed properties:
The calculation puts the total energy at -16.462 eV/cell. The magnetic moment is 0.000 μB per atom.

=====

Record 16
Al2GaReC | PBE | relaxed

a = 4.8875 Å, b = 4.8875 Å, c = 4.0083 Å
α = 90.00°, β = 90.00°, γ = 90.00°
Space group P4/mmm (No. 123)
Symmetry-distinct sites (fractional):
Al (0.0000, 0.5000, 0.0000) x2
Ga (0.0000, 0.0000, 0.5000) x1
Re (0.5000, 0.5000, 0.0000) x1
C (0.5000, 0.5000, 0.5000) x1

Computed properties:
The calculation puts the total energy at -28.808 eV/cell. The magnetic moment is 0.000 μB per atom. The calculation puts the formation energy at 0.6751 eV per atom.

=====

Record 17
CePaBiAu | PBE | relaxed

a = 7.5979 Å, b = 7.5979 Å, c = 7.5979 Å
α = 90.00°, β = 90.00°, γ = 90.00°
Space group F-43m (No. 216)
Symmetry-distinct sites (fractional):
Ce (0.0000, 0.0000, 0.0000) x4
Pa (0.0000, 0.0000, 0.5000) x4
Bi (0.2500, 0.2500, 0.2500) x4
Au (0.2500, 0.2500, 0.7500) x4

Computed properties:
The calculation puts the total energy at -94.308 eV/cell. The magnetic moment is 1.059 μB per atom. The calculation puts the formation energy at -0.2472 eV per atom.

=====

Record 18
Ni2SbAu2 | PBE | relaxed

a = 6.5008 Å, b = 6.5008 Å, c = 3.8872 Å
α = 90.00°, β = 90.00°, γ = 90.00°
Space group P4/mbm (No. 127)
Symmetry-distinct sites (fractional):
Ni (0.1359, 0.3641, 0.0000) x4
Sb (0.0000, 0.0000, 0.0000) x2
Au (0.1582, 0.6582, 0.5000) x4

Computed properties:
The calculation puts the total energy at -44.247 eV/cell. Its energy relative to the elements, uncorrected is 11 kJ/mol of formula units. The magnetic moment is 0.000 μB per atom. The value obtained for the energy above the lowest structure with this stoichiometry is 0.0 meV/atom.

=====

Record 19
MnBi3As | PBE | relaxed

a = 5.0956 Å, b = 5.0956 Å, c = 5.0956 Å
α = 90.00°, β = 90.00°, γ = 90.00°
Space group Pm-3m (No. 221)
Symmetry-distinct sites (fractional):
Mn (0.0000, 0.0000, 0.0000) x1
Bi (0.0000, 0.0000, 0.5000) x3
As (0.5000, 0.5000, 0.5000) x1

Computed properties:
The calculation puts the total energy at -22.825 eV/cell. The magnetic moment is 0.094 μB per atom. The value obtained for the energy above the lowest structure with this stoichiometry is 0.0 meV/atom. The calculation puts the formation energy at 0.5275 eV per atom.

=====

Record 20
La12TbDy5 | PBE | relaxed

a = 11.5293 Å, b = 18.2290 Å, c = 6.0646 Å
α = 90.00°, β = 90.00°, γ = 90.00°
Space group Cmmm (No. 65)
Symmetry-distinct sites (fractional):
La (0.1569, 0.0000, 0.0000) x4
La (0.1567, 0.1672, 0.5000) x8
La (0.1567, 0.3331, 0.0000) x8
La (0.1571, 0.5000, 0.5000) x4
Tb (0.0000, 0.0000, 0.5000) x2
Dy (0.0000, 0.1664, 0.0000) x4
Dy (0.0000, 0.3338, 0.5000) x4
Dy (0.0000, 0.5000, 0.0000) x2

Computed properties:
The calculation puts the total energy at -170.061 eV/cell. The magnetic moment is 0.000 μB per atom. The calculation puts the formation energy at 0.0966 eV per atom.